Entry 1:
{
  "formula": "BaPtS2",
  "functional": "GGA-PBE",
  "state": "relaxed",
  "formation_energy_uncorrected_ev_per_atom": -0.764,
  "lattice": [[3.155, 0.000, 5.329], [-1.578, 2.732, 5.329], [-1.578, -2.732, 5.329]],
  "species": ["S", "Pt", "S", "Ba"],
  "fractional_positions": [[0.864, 0.864, 0.864], [0.000, 0.000, 0.000], [0.136, 0.136, 0.136], [0.500, 0.500, 0.500]]
}

=====

Entry 2:
{
  "formula": "BaCd6Ag3",
  "functional": "GGA-PBE",
  "state": "relaxed",
  "formation_energy_kj_per_mol_fu": -137,
  "lattice": [[4.777, 0.000, 0.000], [0.000, 8.509, -0.259], [0.000, 2.486, 11.777]],
  "species": ["Cd", "Cd", "Ba", "Cd", "Ag", "Ag", "Cd", "Cd", "Cd", "Cd", "Ag", "Cd", "Ag", "Ba", "Cd", "Ag", "Cd", "Cd", "Cd", "Ag"],
  "fractional_positions": [[0.750, 0.735, 0.026], [0.750, 0.328, 0.155], [0.250, 0.950, 0.244], [0.250, 0.348, 0.308], [0.750, 0.448, 0.906], [0.750, 0.077, 0.030], [0.250, 0.594, 0.453], [0.750, 0.652, 0.692], [0.250, 0.392, 0.725], [0.750, 0.131, 0.415], [0.250, 0.552, 0.094], [0.750, 0.608, 0.275], [0.250, 0.923, 0.970], [0.750, 0.050, 0.756], [0.250, 0.869, 0.585], [0.750, 0.788, 0.457], [0.250, 0.265, 0.974], [0.250, 0.672, 0.845], [0.750, 0.406, 0.547], [0.250, 0.212, 0.543]]
}

=====

Entry 3:
{
  "formula": "KAgAsSe2",
  "functional": "GGA-PBE",
  "state": "relaxed",
  "formation_energy_uncorrected_ev_per_atom": 0.104,
  "lattice": [[5.334, 0.000, 0.000], [0.000, 5.334, 0.000], [0.000, 0.000, 4.949]],
  "species": ["Se", "Se", "Ag", "As", "K"],
  "fractional_positions": [[0.000, 0.500, 0.000], [0.500, 0.000, 0.000], [0.000, 0.000, 0.000], [0.000, 0.000, 0.500], [0.500, 0.500, 0.500]]
}

=====

Number 1: calculated total energy -4.819 eV per atom, mass density 4.777 Mg/m³. Number 2: calculated total energy -1.739 eV per atom, mass density 7.827 Mg/m³. Number 3: calculated total energy -3.010 eV per atom, mass density 4.479 Mg/m³.